[1]
Nb2As2Ir | Alexandria | PBE | relaxed; V = 16.63 A^3/atom; energy relative to the elements = -0.210 eV per atom
1.0
-3.2379 -2.6196 -5.6320
4.7578 -5.1290 -0.3497
-1.9326 -1.9297 2.0087
Nb Ir As
4 2 4
Direct
0.1457 0.6457 0.5000 Nb
0.6457 0.8543 0.5000 Nb
0.8543 0.3543 0.5000 Nb
0.3543 0.1457 0.5000 Nb
0.0000 0.0000 0.0000 Ir
0.5000 0.5000 0.0000 Ir
0.3457 0.8457 0.0000 As
0.8457 0.6543 0.0000 As
0.6543 0.1543 0.0000 As
0.1543 0.3457 0.0000 As

[2]
NbAsIr3 | Alexandria | PBE | relaxed; energy above the most stable polymorph in this dataset = 581.3 meV per atom; V = 21.83 A^3/atom; energy relative to the elements = 1.608 eV per atom
1.0
-1.2440 -0.1450 -4.6122
-4.4480 -1.2339 1.2385
-1.2284 4.6149 0.1862
Nb Ir As
1 3 1
Direct
0.0000 0.0000 0.0000 Nb
0.0000 0.5000 0.0000 Ir
0.0000 0.0000 0.5000 Ir
0.5000 0.0000 0.0000 Ir
0.5000 0.5000 0.5000 As

[3]
Nb2SbAsIr | Alexandria | PBE | relaxed; formation energy from raw total energies = 1.952 eV per atom; V = 25.17 A^3/atom
1.0
5.0331 0.0000 0.0000
0.0000 4.9674 0.0000
0.0000 0.0000 5.0331
Sb Nb Ir As
1 2 1 1
Direct
0.0000 0.0000 0.0000 Sb
0.0000 0.0000 0.5000 Nb
0.5000 0.0000 0.0000 Nb
0.5000 0.5000 0.5000 Ir
0.0000 0.5000 0.0000 As

[4]
ScNbAsIr2 | Alexandria | PBE | relaxed; V = 22.30 A^3/atom; energy relative to the elements = 0.558 eV per atom
1.0
4.7863 0.0000 0.0000
0.0000 4.8678 0.0000
0.0000 0.0000 4.7863
Sc Nb Ir As
1 1 2 1
Direct
0.5000 0.5000 0.5000 Sc
0.0000 0.0000 0.0000 Nb
0.0000 0.0000 0.5000 Ir
0.5000 0.0000 0.0000 Ir
0.0000 0.5000 0.0000 As

[5]
Sc2NbAsIr | Alexandria | PBE | relaxed; V = 24.20 A^3/atom; energy relative to the elements = 0.703 eV per atom
1.0
-4.0722 -0.4114 -3.0081
-2.6194 -1.1792 3.7073
-1.0816 4.8990 0.7941
Sc Nb Ir As
2 1 1 1
Direct
0.0000 0.0000 0.5000 Sc
0.5000 0.0000 0.0000 Sc
0.0000 0.0000 0.0000 Nb
0.0000 0.5000 0.0000 Ir
0.5000 0.5000 0.5000 As

[6]
NbAsIrSe2 | Alexandria | PBE | relaxed; formation energy from raw total energies = 0.958 eV per atom; energy above the most stable polymorph in this dataset = 123.8 meV per atom; V = 24.20 A^3/atom
1.0
-4.0395 -1.4674 -2.3747
2.7411 -2.8753 -2.8859
-0.5399 -3.7823 3.2556
Nb Ir As Se
1 1 1 2
Direct
0.0000 0.0000 0.0000 Nb
0.5000 0.5000 0.5000 Ir
0.0000 0.0000 0.5000 As
0.0000 0.5000 0.0000 Se
0.5000 0.0000 0.0000 Se

> What is the V in the fourth record?

22.30 A^3/atom